(1)
A plane-wave DFT calculation with PBE was carried out for a relaxed structure of AlCuSe2.

Structure (POSCAR):
```
AlCuSe2
1.0
2.008 1.159 6.449
-2.008 1.159 6.449
0.000 -2.318 6.449
Al Cu Se
1 1 2
direct
0.000 0.000 0.000 Al
0.521 0.521 0.521 Cu
0.387 0.387 0.387 Se
0.880 0.880 0.880 Se
```

N(E_F): 0.5 states/eV/f.u.
ΔE_f (raw): -0.546 eV/atom
Symmetry: R3m, No. 160

=====

(2)
A plane-wave DFT calculation with PBE was carried out for a relaxed structure of SmZn2BRu2.

Structure (POSCAR):
```
SmZn2BRu2
1.0
4.207 0.000 0.000
0.000 4.207 0.000
0.000 0.000 5.446
Sm Zn B Ru
1 2 1 2
direct
0.000 0.000 0.000 Sm
0.500 0.500 0.228 Zn
0.500 0.500 0.772 Zn
0.000 0.000 0.500 B
0.000 0.500 0.500 Ru
0.500 0.000 0.500 Ru
```

N(E_F): 3.1 states/eV/f.u.
Symmetry: P4/mmm, No. 123
ΔE_f: -0.374 eV/atom

=====

(3)
A plane-wave DFT calculation with PBE was carried out for a relaxed structure of La4NdMg5.

Structure (POSCAR):
```
La4NdMg5
1.0
3.948 0.000 0.000
0.000 3.948 0.000
0.000 0.000 19.761
La Nd Mg
4 1 5
direct
0.000 0.000 0.101 La
0.000 0.000 0.303 La
0.000 0.000 0.697 La
0.000 0.000 0.899 La
0.000 0.000 0.500 Nd
0.500 0.500 0.000 Mg
0.500 0.500 0.202 Mg
0.500 0.500 0.404 Mg
0.500 0.500 0.596 Mg
0.500 0.500 0.798 Mg
```

N(E_F): 11.6 states/eV/f.u.
Symmetry: P4/mmm, No. 123
ΔE_f: -0.114 eV/atom

=====

(4)
A plane-wave DFT calculation with PBE was carried out for a relaxed structure of Mg4TlRh.

Structure (POSCAR):
```
Mg4TlRh
1.0
0.000 3.927 3.927
3.927 0.000 3.927
3.927 3.927 0.000
Mg Tl Rh
4 1 1
direct
0.124 0.124 0.124 Mg
0.124 0.124 0.627 Mg
0.124 0.627 0.124 Mg
0.627 0.124 0.124 Mg
0.500 0.500 0.500 Tl
0.750 0.750 0.750 Rh
```

N(E_F): 3.4 states/eV/f.u.
Symmetry: F-43m, No. 216
ΔE_f: 0.143 eV/atom
ΔE to the lowest computed polymorph: 357.2 meV per atom

=====

(5)
A plane-wave DFT calculation with PBE was carried out for a relaxed structure of GdYRh2.

Structure (POSCAR):
```
GdYRh2
1.0
4.919 0.000 0.000
0.000 4.919 0.000
0.000 0.000 3.391
Gd Y Rh
1 1 2
direct
0.000 0.000 0.000 Gd
0.500 0.500 0.000 Y
0.000 0.500 0.500 Rh
0.500 0.000 0.500 Rh
```

N(E_F): 2.5 states/eV/f.u.
Symmetry: P4/mmm, No. 123
ΔE_f: -0.814 eV/atom

=====

(6)
A plane-wave DFT calculation with PBE was carried out for a relaxed structure of Ho2Tm3Pu.

Structure (POSCAR):
```
Ho2Tm3Pu
1.0
8.635 -3.522 0.000
8.635 3.522 0.000
-1.437 0.000 5.889
Ho Tm Pu
4 6 2
direct
0.039 0.293 0.024 Ho
0.293 0.039 0.524 Ho
0.707 0.961 0.476 Ho
0.961 0.707 0.976 Ho
0.124 0.876 0.750 Tm
0.210 0.459 0.471 Tm
0.459 0.210 0.971 Tm
0.541 0.790 0.029 Tm
0.790 0.541 0.529 Tm
0.876 0.124 0.250 Tm
0.380 0.620 0.250 Pu
0.620 0.380 0.750 Pu
```

N(E_F): 13.3 states/eV/f.u.
Symmetry: C2/c, No. 15
ΔE_f: 0.041 eV/atom
ΔE to the lowest computed polymorph: 0.0 meV per atom

=====

(7)
A plane-wave DFT calculation with PBE was carried out for a relaxed structure of Rb19Au4O6.

Structure (POSCAR):
```
Rb19Au4O6
1.0
-6.507 6.507 6.507
6.507 -6.507 6.507
6.507 6.507 -6.507
Rb Au O
19 4 6
direct
0.000 0.000 0.000 Rb
0.000 0.360 0.360 Rb
0.000 0.640 0.640 Rb
0.042 0.361 0.745 Rb
0.255 0.615 0.297 Rb
0.297 0.255 0.615 Rb
0.318 0.958 0.703 Rb
0.360 0.000 0.360 Rb
0.360 0.360 0.000 Rb
0.361 0.745 0.042 Rb
0.385 0.639 0.682 Rb
0.615 0.297 0.255 Rb
0.639 0.682 0.385 Rb
0.640 0.000 0.640 Rb
0.640 0.640 0.000 Rb
0.682 0.385 0.639 Rb
0.703 0.318 0.958 Rb
0.745 0.042 0.361 Rb
0.958 0.703 0.318 Rb
0.000 0.000 0.640 Au
0.000 0.640 0.000 Au
0.360 0.360 0.360 Au
0.640 0.000 0.000 Au
0.161 0.661 0.500 O
0.339 0.500 0.839 O
0.500 0.161 0.661 O
0.500 0.839 0.339 O
0.661 0.500 0.161 O
0.839 0.339 0.500 O
```

N(E_F): 10.8 states/eV/f.u.
ΔE_f (raw): -0.668 eV/atom
Symmetry: I23, No. 197

=====

(8)
A plane-wave DFT calculation with PBE was carried out for a relaxed structure of PrHoSO2.

Structure (POSCAR):
```
PrHoSO2
1.0
6.522 0.000 0.000
0.000 4.081 0.000
-2.568 0.000 7.229
Pr Ho S O
2 2 2 4
direct
0.198 0.250 0.433 Pr
0.802 0.750 0.567 Pr
0.178 0.250 0.927 Ho
0.822 0.750 0.073 Ho
0.458 0.750 0.745 S
0.542 0.250 0.255 S
0.015 0.750 0.369 O
0.023 0.750 0.892 O
0.977 0.250 0.108 O
0.985 0.250 0.631 O
```

N(E_F): 0.0 states/eV/f.u.
ΔE_f (raw): -3.059 eV/atom
Symmetry: P2_1/m, No. 11

=====

Number 1: raw total energy -4.248 eV per atom. Number 2: raw total energy -5.790 eV per atom. Number 3: raw total energy -3.359 eV per atom. Number 4: raw total energy -2.539 eV per atom. Number 5: raw total energy -9.626 eV per atom. Number 6: raw total energy -6.109 eV per atom. Number 7: raw total energy -2.780 eV per atom. Number 8: raw total energy -7.740 eV per atom.